Below is Sm8Dy2Sc3 after structural relaxation, with properties calculated at the PBE-GGA level.

The structure in CIF format:
```
data_Sm8Dy2Sc3
_cell_length_a 14.8401
_cell_length_b 8.8520
_cell_length_c 6.6214
_cell_angle_alpha 90.00
_cell_angle_beta 99.37
_cell_angle_gamma 90.00
_space_group_name_H-M_alt 'C 1 2/m 1'
_space_group_IT_number 12
loop_
_space_group_symop_operation_xyz
'x,y,z'
'-x,-y,-z'
'-x,y,-z'
'x,-y,z'
'x+1/2,y+1/2,z'
'-x+1/2,-y+1/2,-z'
'-x+1/2,y+1/2,-z'
'x+1/2,-y+1/2,z'
loop_
_atom_site_label
_atom_site_type_symbol
_atom_site_fract_x
_atom_site_fract_y
_atom_site_fract_z
Sm1 Sm 0.0900 0.0000 0.3954
Sm2 Sm 0.1107 0.1828 0.9315
Sm3 Sm 0.1901 0.5000 0.3119
Dy1 Dy 0.1972 0.5000 0.7972
Sc1 Sc 0.0000 0.3380 0.5000
Sc2 Sc 0.0000 0.5000 0.0000
```

Output
relative energy among the computed polymorphs: 37 meV/atom
DFT formation energy: 0.25 eV per atom

---

Below is Na9Tl3Hg2 after structural relaxation, with properties calculated at the PBE-GGA level.

The structure in CIF format:
```
data_Na9Tl3Hg2
_cell_length_a 13.3247
_cell_length_b 12.9525
_cell_length_c 5.1639
_cell_angle_alpha 90.00
_cell_angle_beta 112.37
_cell_angle_gamma 90.00
_space_group_name_H-M_alt 'C 1 2/m 1'
_space_group_IT_number 12
loop_
_space_group_symop_operation_xyz
'x,y,z'
'-x,-y,-z'
'-x,y,-z'
'x,-y,z'
'x+1/2,y+1/2,z'
'-x+1/2,-y+1/2,-z'
'-x+1/2,y+1/2,-z'
'x+1/2,-y+1/2,z'
loop_
_atom_site_label
_atom_site_type_symbol
_atom_site_fract_x
_atom_site_fract_y
_atom_site_fract_z
Na1 Na 0.0000 0.0000 0.0000
Na2 Na 0.1311 0.3839 0.6293
Na3 Na 0.1354 0.2328 0.1338
Tl1 Tl 0.0000 0.5000 0.0000
Tl2 Tl 0.2028 0.0000 0.7053
Hg1 Hg 0.0000 0.1615 0.5000
```

Output
DFT formation energy: -0.08 eV per atom

---

Below is MgTlSn2Ru after structural relaxation, with properties calculated at the PBE-GGA level.

The structure in CIF format:
```
data_MgTlSn2Ru
_cell_length_a 5.1216
_cell_length_b 5.1216
_cell_length_c 5.1159
_cell_angle_alpha 90.00
_cell_angle_beta 90.00
_cell_angle_gamma 90.00
_space_group_name_H-M_alt 'P 4/m m m'
_space_group_IT_number 123
_space_group_name_Hall '-P 4 2'
loop_
_atom_site_label
_atom_site_type_symbol
_atom_site_fract_x
_atom_site_fract_y
_atom_site_fract_z
Mg1 Mg 0.0000 0.0000 0.0000
Tl1 Tl 0.5000 0.5000 0.0000
Sn1 Sn 0.0000 0.5000 0.5000
Ru1 Ru 0.0000 0.0000 0.5000
```

Output
DFT formation energy: 0.00 eV per atom

---

Below is GeMoAu after structural relaxation, with properties calculated at the PBE-GGA level.

The structure in CIF format:
```
data_GeMoAu
_cell_length_a 3.2273
_cell_length_b 3.2273
_cell_length_c 9.6544
_cell_angle_alpha 90.00
_cell_angle_beta 90.00
_cell_angle_gamma 90.00
_space_group_name_H-M_alt 'P 4/n m m'
_space_group_IT_number 129
loop_
_space_group_symop_operation_xyz
'x,y,z'
'-x,-y,-z'
'-y+1/2,x,z'
'y+1/2,-x,-z'
'-x+1/2,-y+1/2,z'
'x+1/2,y+1/2,-z'
'y,-x+1/2,z'
'-y,x+1/2,-z'
'x+1/2,-y,-z'
'-x+1/2,y,z'
'-y,-x,-z'
'y,x,z'
'-x,y+1/2,-z'
'x,-y+1/2,z'
'y+1/2,x+1/2,-z'
'-y+1/2,-x+1/2,z'
loop_
_atom_site_label
_atom_site_type_symbol
_atom_site_fract_x
_atom_site_fract_y
_atom_site_fract_z
Ge1 Ge 0.2500 0.2500 0.2239
Mo1 Mo 0.2500 0.2500 0.9188
Au1 Au 0.2500 0.2500 0.5960
```

Output
DFT formation energy: 0.08 eV per atom

---

Below is Pm4ErTe7 after structural relaxation, with properties calculated at the PBE-GGA level.

The structure in CIF format:
```
data_Pm4ErTe7
_cell_length_a 14.5450
_cell_length_b 4.3160
_cell_length_c 13.3629
_cell_angle_alpha 90.00
_cell_angle_beta 104.51
_cell_angle_gamma 90.00
_space_group_name_H-M_alt 'C 1 m 1'
_space_group_IT_number 8
loop_
_space_group_symop_operation_xyz
'x,y,z'
'x,-y,z'
'x+1/2,y+1/2,z'
'x+1/2,-y+1/2,z'
loop_
_atom_site_label
_atom_site_type_symbol
_atom_site_fract_x
_atom_site_fract_y
_atom_site_fract_z
Pm1 Pm 0.0000 0.0000 0.0000
Pm2 Pm 0.0859 0.5000 0.3836
Pm3 Pm 0.1856 0.0000 0.7645
Pm4 Pm 0.3852 0.5000 0.5717
Er1 Er 0.2709 0.5000 0.1500
Te1 Te 0.0472 0.5000 0.6227
Te2 Te 0.1306 0.5000 0.9286
Te3 Te 0.1500 0.0000 0.2234
Te4 Te 0.2231 0.0000 0.5252
Te5 Te 0.3491 0.5000 0.7903
Te6 Te 0.3823 0.0000 0.0775
Te7 Te 0.4209 0.5000 0.3526
```

Output
uncorrected formation energy: -1.415 eV/atom

---

Below is LiPuZn4 after structural relaxation, with properties calculated at the PBE-GGA level.

The structure in CIF format:
```
data_LiPuZn4
_cell_length_a 7.5742
_cell_length_b 7.5742
_cell_length_c 7.5742
_cell_angle_alpha 90.00
_cell_angle_beta 90.00
_cell_angle_gamma 90.00
_space_group_name_H-M_alt 'F -4 3 m'
_space_group_IT_number 216
_space_group_name_Hall 'F -4 2 3'
loop_
_atom_site_label
_atom_site_type_symbol
_atom_site_fract_x
_atom_site_fract_y
_atom_site_fract_z
Li1 Li 0.0000 0.0000 0.0000
Pu1 Pu 0.2500 0.2500 0.7500
Zn1 Zn 0.1260 0.1260 0.3740
```

Output
relative energy among the computed polymorphs: 51 meV/atom
DFT formation energy: -0.10 eV per atom

---

Below is SmDyCoOs after structural relaxation, with properties calculated at the PBE-GGA level.

The structure in CIF format:
```
data_SmDyCoOs
_cell_length_a 6.8466
_cell_length_b 6.8466
_cell_length_c 6.8466
_cell_angle_alpha 90.00
_cell_angle_beta 90.00
_cell_angle_gamma 90.00
_space_group_name_H-M_alt 'F -4 3 m'
_space_group_IT_number 216
_space_group_name_Hall 'F -4 2 3'
loop_
_atom_site_label
_atom_site_type_symbol
_atom_site_fract_x
_atom_site_fract_y
_atom_site_fract_z
Sm1 Sm 0.0000 0.0000 0.0000
Dy1 Dy 0.0000 0.0000 0.5000
Co1 Co 0.2500 0.2500 0.2500
Os1 Os 0.2500 0.2500 0.7500
```

Output
DFT formation energy: -0.03 eV per atom

---

Below is Pr2Ga4SnPd3 after structural relaxation, with properties calculated at the PBE-GGA level.

The structure in CIF format:
```
data_Pr2Ga4SnPd3
_cell_length_a 4.3671
_cell_length_b 4.3671
_cell_length_c 10.7385
_cell_angle_alpha 90.00
_cell_angle_beta 90.00
_cell_angle_gamma 90.00
_space_group_name_H-M_alt 'P -4 m 2'
_space_group_IT_number 115
loop_
_space_group_symop_operation_xyz
'x,y,z'
'y,-x,-z'
'-x,-y,z'
'-y,x,-z'
'-x,y,z'
'-y,-x,-z'
'x,-y,z'
'y,x,-z'
loop_
_atom_site_label
_atom_site_type_symbol
_atom_site_fract_x
_atom_site_fract_y
_atom_site_fract_z
Pr1 Pr 0.0000 0.5000 0.2376
Ga1 Ga 0.0000 0.0000 0.0000
Ga2 Ga 0.0000 0.5000 0.6520
Ga3 Ga 0.5000 0.5000 0.0000
Sn1 Sn 0.0000 0.0000 0.5000
Pd1 Pd 0.0000 0.5000 0.8797
Pd2 Pd 0.5000 0.5000 0.5000
```

Output
DFT formation energy: -0.74 eV per atom

---

Below is CaMgTa2 after structural relaxation, with properties calculated at the PBE-GGA level.

The structure in CIF format:
```
data_CaMgTa2
_cell_length_a 3.2816
_cell_length_b 4.8011
_cell_length_c 5.3918
_cell_angle_alpha 90.00
_cell_angle_beta 90.00
_cell_angle_gamma 90.00
_space_group_name_H-M_alt 'P m m m'
_space_group_IT_number 47
loop_
_space_group_symop_operation_xyz
'x,y,z'
'-x,-y,-z'
'-x,-y,z'
'x,y,-z'
'x,-y,-z'
'-x,y,z'
'-x,y,-z'
'x,-y,z'
loop_
_atom_site_label
_atom_site_type_symbol
_atom_site_fract_x
_atom_site_fract_y
_atom_site_fract_z
Ca1 Ca 0.0000 0.0000 0.0000
Mg1 Mg 0.5000 0.5000 0.0000
Ta1 Ta 0.0000 0.5000 0.5000
Ta2 Ta 0.5000 0.0000 0.5000
```

Output
DFT formation energy: 0.59 eV per atom

---

Below is TaCr2Cd after structural relaxation, with properties calculated at the PBE-GGA level.

The structure in CIF format:
```
data_TaCr2Cd
_cell_length_a 2.8530
_cell_length_b 2.8530
_cell_length_c 27.1479
_cell_angle_alpha 90.00
_cell_angle_beta 90.00
_cell_angle_gamma 120.00
_space_group_name_H-M_alt 'R 3 m'
_space_group_IT_number 160
_space_group_name_Hall 'R 3 -2"'
loop_
_atom_site_label
_atom_site_type_symbol
_atom_site_fract_x
_atom_site_fract_y
_atom_site_fract_z
Ta1 Ta 0.0000 0.0000 0.0000
Cr1 Cr 0.0000 0.0000 0.4777
Cr2 Cr 0.0000 0.0000 0.7534
Cd1 Cd 0.0000 0.0000 0.2349
```

Output
DFT formation energy: 0.42 eV per atom

---

Below is Pu2InCo after structural relaxation, with properties calculated at the PBE-GGA level.

The structure in CIF format:
```
data_Pu2InCo
_cell_length_a 3.2153
_cell_length_b 3.2153
_cell_length_c 8.4276
_cell_angle_alpha 90.00
_cell_angle_beta 90.00
_cell_angle_gamma 90.00
_space_group_name_H-M_alt 'P 4/m m m'
_space_group_IT_number 123
_space_group_name_Hall '-P 4 2'
loop_
_atom_site_label
_atom_site_type_symbol
_atom_site_fract_x
_atom_site_fract_y
_atom_site_fract_z
Pu1 Pu 0.0000 0.0000 0.2041
In1 In 0.5000 0.5000 0.5000
Co1 Co 0.5000 0.5000 0.0000
```

Output
relative energy among the computed polymorphs: 0 meV/atom
DFT formation energy: -0.08 eV per atom

---

Below is LiHoRhAu after structural relaxation, with properties calculated at the PBE-GGA level.

The structure in CIF format:
```
data_LiHoRhAu
_cell_length_a 6.6422
_cell_length_b 6.6422
_cell_length_c 6.6422
_cell_angle_alpha 90.00
_cell_angle_beta 90.00
_cell_angle_gamma 90.00
_space_group_name_H-M_alt 'F -4 3 m'
_space_group_IT_number 216
_space_group_name_Hall 'F -4 2 3'
loop_
_atom_site_label
_atom_site_type_symbol
_atom_site_fract_x
_atom_site_fract_y
_atom_site_fract_z
Li1 Li 0.0000 0.0000 0.0000
Ho1 Ho 0.0000 0.0000 0.5000
Rh1 Rh 0.2500 0.2500 0.2500
Au1 Au 0.2500 0.2500 0.7500
```

Output
DFT formation energy: -0.60 eV per atom